# Pm3Te3N PBE relaxed
data_Pm3Te3N
_chemical_formula_sum 'Pm12 Te12 N4'
_symmetry_space_group_name_H-M 'P n m a'
_symmetry_Int_Tables_number 62
_cell_length_a 13.845
_cell_length_b 4.265
_cell_length_c 14.163
_cell_angle_alpha 90.00
_cell_angle_beta 90.00
_cell_angle_gamma 90.00
loop_
_symmetry_equiv_pos_as_xyz
'x,y,z'
'-x,-y,-z'
'-x+1/2,-y,z+1/2'
'x+1/2,y,-z+1/2'
'x+1/2,-y+1/2,-z+1/2'
'-x+1/2,y+1/2,z+1/2'
'-x,y+1/2,-z'
'x,-y+1/2,z'
loop_
_atom_site_label
_atom_site_fract_x
_atom_site_fract_y
_atom_site_fract_z
_atom_site_occupancy
Pm1 0.038 0.250 0.159 1
Pm2 0.056 0.250 0.636 1
Pm3 0.192 0.250 0.853 1
Te1 0.105 0.250 0.394 1
Te2 0.126 0.750 0.999 1
Te3 0.222 0.750 0.681 1
N1 0.037 0.250 0.794 1
# E_tot   -6.05 eV per atom
# Raw formation energy   -1.476 eV/atom
# Energy relative to the lowest polymorph listed for this composition   3 meV/atom